# PBE-GGA Tb3Ho3Sc2, optimized geometry
data_Tb3Ho3Sc2
_symmetry_space_group_name_H-M 'P 1'
_symmetry_Int_Tables_number 1
_cell_length_a 5.424
_cell_length_b 5.612
_cell_length_c 8.817
_cell_angle_alpha 109.13
_cell_angle_beta 107.92
_cell_angle_gamma 90.00
loop_
_symmetry_equiv_pos_as_xyz
'x,y,z'
loop_
_atom_site_label
_atom_site_type_symbol
_atom_site_fract_x
_atom_site_fract_y
_atom_site_fract_z
Ho1 Ho 0.000 0.000 0.000
Ho2 Ho 0.861 0.320 0.723
Ho3 Ho 0.139 0.680 0.277
Tb1 Tb 0.500 0.500 0.000
Tb2 Tb 0.361 0.906 0.721
Tb3 Tb 0.639 0.094 0.279
Sc1 Sc 0.250 0.309 0.500
Sc2 Sc 0.750 0.691 0.500
# Fermi-level density of states = 15.64 states/eV/cell
# electronic total energy = -4.949 eV per atom
# space-group type = C2/m
# E_form = 0.087 eV per atom

***

# PBE-GGA V4NiPt5, optimized geometry
data_V4NiPt5
_symmetry_space_group_name_H-M 'P 1'
_symmetry_Int_Tables_number 1
_cell_length_a 2.711
_cell_length_b 2.711
_cell_length_c 19.243
_cell_angle_alpha 90.00
_cell_angle_beta 90.00
_cell_angle_gamma 90.00
loop_
_symmetry_equiv_pos_as_xyz
'x,y,z'
loop_
_atom_site_label
_atom_site_type_symbol
_atom_site_fract_x
_atom_site_fract_y
_atom_site_fract_z
Pt1 Pt 0.500 0.500 0.901
Pt2 Pt 0.500 0.500 0.297
Pt3 Pt 0.500 0.500 0.500
Pt4 Pt 0.500 0.500 0.703
Pt5 Pt 0.500 0.500 0.099
V1 V 0.000 0.000 0.398
V2 V 0.000 0.000 0.602
V3 V 0.000 0.000 0.196
V4 V 0.000 0.000 0.804
Ni1 Ni 0.000 0.000 0.000
# Fermi-level density of states = 7.66 states/eV/cell
# electronic total energy = -7.742 eV per atom
# space-group type = P4/mmm
# E_form = -0.496 eV per atom